{"formula": "K2CdIr", "functional": "PBE-GGA", "state": "relaxed", "lattice": [[4.334, 0.000, 0.000], [0.000, 4.334, 0.000], [0.000, 0.000, 10.643]], "species": ["K", "K", "K", "K", "Cd", "Cd", "Ir", "Ir"], "fractional_positions": [[0.000, 0.500, 0.250], [0.000, 0.500, 0.750], [0.500, 0.000, 0.250], [0.500, 0.000, 0.750], [0.000, 0.000, 0.000], [0.500, 0.500, 0.500], [0.000, 0.000, 0.500], [0.500, 0.500, 0.000]], "sg": "No. 139", "final_energy_ev_per_cell": -19.1, "m_tot_mub_per_atom": 0.00}

***

{"formula": "K2CdIr", "functional": "PBE-GGA", "state": "relaxed", "lattice": [[3.090, 0.000, 0.000], [0.000, 5.390, 0.000], [-0.004, 0.000, 6.106]], "species": ["K", "K", "Cd", "Ir"], "fractional_positions": [[0.003, 0.000, 0.236], [0.997, 0.000, 0.764], [0.500, 0.500, 0.500], [0.500, 0.500, 0.000]], "sg": "No. 10", "final_energy_ev_per_cell": -9.4, "m_tot_mub_per_atom": 0.13}

***

{"formula": "KCdIr4", "functional": "PBE-GGA", "state": "relaxed", "lattice": [[0.000, 3.789, 3.789], [3.789, 0.000, 3.789], [3.789, 3.789, 0.000]], "species": ["K", "Cd", "Ir", "Ir", "Ir", "Ir"], "fractional_positions": [[0.000, 0.000, 0.000], [0.750, 0.750, 0.750], [0.375, 0.375, 0.375], [0.375, 0.375, 0.874], [0.375, 0.874, 0.375], [0.874, 0.375, 0.375]], "sg": "No. 216", "final_energy_ev_per_cell": -34.7, "m_tot_mub_per_atom": 0.00}

***

{"formula": "K2CdIr", "functional": "PBE-GGA", "state": "relaxed", "lattice": [[3.729, 0.000, 0.000], [0.000, 3.729, 0.000], [0.000, 0.000, 9.875]], "species": ["K", "K", "Cd", "Ir"], "fractional_positions": [[0.000, 0.000, 0.000], [0.500, 0.500, 0.425], [0.000, 0.000, 0.681], [0.500, 0.500, 0.749]], "sg": "No. 99", "final_energy_ev_per_cell": -10.5, "m_tot_mub_per_atom": 0.00}

***

{"formula": "K2CdIr", "functional": "PBE-GGA", "state": "relaxed", "lattice": [[7.423, 0.000, 0.000], [0.000, 7.423, 0.000], [0.000, 0.000, 7.423]], "species": ["K", "K", "K", "K", "K", "K", "K", "K", "Cd", "Cd", "Cd", "Cd", "Ir", "Ir", "Ir", "Ir"], "fractional_positions": [[0.000, 0.000, 0.000], [0.000, 0.500, 0.500], [0.250, 0.250, 0.250], [0.250, 0.750, 0.750], [0.500, 0.000, 0.500], [0.500, 0.500, 0.000], [0.750, 0.250, 0.750], [0.750, 0.750, 0.250], [0.250, 0.250, 0.750], [0.250, 0.750, 0.250], [0.750, 0.250, 0.250], [0.750, 0.750, 0.750], [0.000, 0.000, 0.500], [0.000, 0.500, 0.000], [0.500, 0.000, 0.000], [0.500, 0.500, 0.500]], "sg": "No. 216", "final_energy_ev_per_cell": -38.9, "m_tot_mub_per_atom": 0.00}

***

{"formula": "KLa2CdIr", "functional": "PBE-GGA", "state": "relaxed", "lattice": [[5.502, 0.000, 0.000], [0.000, 5.502, 0.000], [0.000, 0.000, 6.268]], "species": ["K", "La", "La", "Cd", "Ir"], "fractional_positions": [[0.000, 0.000, 0.000], [0.000, 0.500, 0.500], [0.500, 0.000, 0.500], [0.500, 0.500, 0.000], [0.000, 0.000, 0.500]], "sg": "No. 123", "final_energy_ev_per_cell": -21.2, "m_tot_mub_per_atom": 0.00}